Crystalline Np2GeIr2 at its relaxed geometry, computed with PBE-GGA. Values from VASP.

Structure (Quantum ESPRESSO input):
```
&SYSTEM
  ibrav = 0, nat = 10, ntyp = 3
/
ATOMIC_SPECIES
Np 237.00 Np.upf
Ge 72.64 Ge.upf
Ir 192.22 Ir.upf
ATOMIC_POSITIONS crystal
Np 0.131 0.183 0.000
Np 0.369 0.683 0.000
Np 0.631 0.317 0.000
Np 0.869 0.817 0.000
Ge 0.000 0.500 0.000
Ge 0.500 0.000 0.000
Ir 0.200 0.913 0.500
Ir 0.300 0.413 0.500
Ir 0.700 0.587 0.500
Ir 0.800 0.087 0.500
CELL_PARAMETERS angstrom
6.796 0.000 0.000
0.000 8.947 0.000
0.000 0.000 3.302
```

Results
**Space-group type**: Pbam
**Density**: 15.40 g/cm3
**Energy**: -9.78 eV per atom